No. 1
# Ce2Al6CoRu, relaxed, DFT PBE
# DOS at the Fermi energy ... 17.7 states/eV/f.u.
# Calculated total energy ... -5.468 eV per atom
# SG ... Fm-3m (225)
# Size of the total moment ... 2.87 μB/f.u.
# DFT formation energy ... -0.397 eV per atom
data_Ce2Al6CoRu
_space_group_name_H-M_alt 'P 1'
_space_group_IT_number 1
_space_group_name_Hall 'P 1'
_cell_length_a 6.529
_cell_length_b 6.529
_cell_length_c 6.530
_cell_angle_alpha 59.99
_cell_angle_beta 60.00
_cell_angle_gamma 90.00
loop_
_atom_site_label
_atom_site_type_symbol
_atom_site_fract_x
_atom_site_fract_y
_atom_site_fract_z
_atom_site_occupancy
Al1 Al 0.756 0.756 0.487 1
Al2 Al 0.244 0.244 0.513 1
Al3 Al 0.244 0.756 0.000 1
Al4 Al 0.756 0.756 0.000 1
Al5 Al 0.244 0.244 0.000 1
Al6 Al 0.756 0.244 0.000 1
Ce1 Ce 0.250 0.750 0.500 1
Ce2 Ce 0.750 0.250 0.500 1
Ru1 Ru 0.500 0.500 0.000 1
Co1 Co 0.000 0.000 0.000 1



No. 2
# Ca2SiW, relaxed, DFT PBE
# DOS at the Fermi energy ... 1.8 states/eV/f.u.
# Calculated total energy ... -4.977 eV per atom
# SG ... I-4m2 (119)
# Size of the total moment ... 0.00 μB/f.u.
# Formation energy (no corrections) ... 2.47 eV per formula unit
data_Ca2SiW
_space_group_name_H-M_alt 'P 1'
_space_group_IT_number 1
_space_group_name_Hall 'P 1'
_cell_length_a 5.188
_cell_length_b 5.188
_cell_length_c 5.188
_cell_angle_alpha 128.87
_cell_angle_beta 128.87
_cell_angle_gamma 75.22
loop_
_atom_site_label
_atom_site_type_symbol
_atom_site_fract_x
_atom_site_fract_y
_atom_site_fract_z
_atom_site_occupancy
Ca1 Ca 0.250 0.750 0.500 1
Ca2 Ca 0.000 0.000 0.000 1
W1 W 0.750 0.250 0.500 1
Si1 Si 0.500 0.500 0.000 1



No. 3
# Er3PbS, relaxed, DFT PBE
# DOS at the Fermi energy ... 4.5 states/eV/f.u.
# Calculated total energy ... -5.332 eV per atom
# SG ... Pnma (62)
# Size of the total moment ... 0.00 μB/f.u.
# Energy above the most stable polymorph in this dataset ... 0.000 eV per formula unit
# Formation energy (no corrections) ... -5.14 eV per formula unit
data_Er3PbS
_space_group_name_H-M_alt 'P 1'
_space_group_IT_number 1
_space_group_name_Hall 'P 1'
_cell_length_a 4.027
_cell_length_b 8.757
_cell_length_c 14.487
_cell_angle_alpha 90.00
_cell_angle_beta 90.00
_cell_angle_gamma 90.00
loop_
_atom_site_label
_atom_site_type_symbol
_atom_site_fract_x
_atom_site_fract_y
_atom_site_fract_z
_atom_site_occupancy
Pb1 Pb 0.250 0.432 0.172 1
Pb2 Pb 0.750 0.068 0.672 1
Pb3 Pb 0.750 0.568 0.828 1
Pb4 Pb 0.250 0.932 0.328 1
Er1 Er 0.250 0.293 0.781 1
Er2 Er 0.250 0.529 0.390 1
Er3 Er 0.250 0.793 0.719 1
Er4 Er 0.750 0.332 0.012 1
Er5 Er 0.750 0.971 0.890 1
Er6 Er 0.250 0.168 0.512 1
Er7 Er 0.750 0.207 0.281 1
Er8 Er 0.750 0.707 0.219 1
Er9 Er 0.250 0.668 0.988 1
Er10 Er 0.750 0.471 0.610 1
Er11 Er 0.250 0.029 0.110 1
Er12 Er 0.750 0.832 0.488 1
S1 S 0.750 0.339 0.444 1
S2 S 0.250 0.661 0.556 1
S3 S 0.750 0.839 0.056 1
S4 S 0.250 0.161 0.944 1



No. 4
# RbBaCuO3, relaxed, DFT PBE
# DOS at the Fermi energy ... 4.2 states/eV/f.u.
# Calculated total energy ... -5.051 eV per atom
# SG ... C2/m (12)
# Size of the total moment ... 0.41 μB/f.u.
# Formation energy (no corrections) ... -8.44 eV per formula unit
data_RbBaCuO3
_space_group_name_H-M_alt 'P 1'
_space_group_IT_number 1
_space_group_name_Hall 'P 1'
_cell_length_a 3.988
_cell_length_b 7.290
_cell_length_c 8.221
_cell_angle_alpha 106.38
_cell_angle_beta 90.00
_cell_angle_gamma 105.87
loop_
_atom_site_label
_atom_site_type_symbol
_atom_site_fract_x
_atom_site_fract_y
_atom_site_fract_z
_atom_site_occupancy
Ba1 Ba 0.347 0.695 0.415 1
Ba2 Ba 0.653 0.305 0.585 1
O1 O 0.870 0.740 0.204 1
O2 O 0.504 0.009 0.286 1
O3 O 0.146 0.292 0.345 1
O4 O 0.496 0.991 0.714 1
O5 O 0.130 0.260 0.796 1
O6 O 0.854 0.708 0.655 1
Cu1 Cu 0.992 0.985 0.729 1
Cu2 Cu 0.008 0.015 0.271 1
Rb1 Rb 0.357 0.714 0.935 1
Rb2 Rb 0.643 0.286 0.065 1



Which value of calculated total energy does entry 1 give?
-5.468 eV per atom